Entry 1:
## Zn6CuNi10 (PBE)

Data for Zn6CuNi10 after structural relaxation.

Computed properties:
Magnetization in μB per formula unit: 0.0
Formation energy in eV per formula unit: -1.3
Energy in eV for the cell shown: -70.9
Density of states at the Fermi level in states/eV/f.u.: 7.6

Cell lengths 6.9554, 6.9554, 4.9330 Å; angles 90.00, 90.00, 120.00 degrees
Last column: nearest neighbours and their distance in Å.
Space group P-31m (No. 162)
Asymmetric unit:
Zn 0.0000 0.3458 0.1798 [6 per cell]  7 Ni 2.41-2.54, 1 Cu 2.56
Cu 0.0000 0.0000 0.0000 [1 per cell]  6 Zn 2.56, 6 Ni 2.75
Ni 0.0000 0.3169 0.6673 [6 per cell]  5 Zn 2.41-2.54, 2 Ni 2.52
Ni 0.3333 0.6667 0.0000 [2 per cell]  6 Zn 2.44, 2 Ni 2.47
Ni 0.3333 0.6667 0.5000 [2 per cell]  8 Ni 2.47-2.52

=====

Entry 2:
## CaGdIn2 (PBE)

Data for CaGdIn2 after structural relaxation.

Computed properties:
Magnetization in μB per formula unit: 7.4
Formation energy in eV per formula unit: -1.2
Energy in eV for the cell shown: -68.3
Density of states at the Fermi level in states/eV/f.u.: 2.6

Cell lengths 3.6988, 3.6988, 30.3852 Å; angles 90.00, 90.00, 120.00 degrees
Last column: nearest neighbours and their distance in Å.
Space group R-3m (No. 166, hexagonal axes)
Asymmetric unit:
Ca 0.0000 0.0000 0.0000 [3 per cell]  6 In 3.33, 6 Ca 3.70
Gd 0.0000 0.0000 0.5000 [3 per cell]  6 In 3.30
In 0.0000 0.0000 0.2494 [6 per cell]  3 Gd 3.30, 3 Ca 3.33

=====

Entry 3:
## CaMg2Cu4 (PBE)

Data for CaMg2Cu4 after structural relaxation.

Computed properties:
Magnetization in μB per formula unit: 0.0
Formation energy in eV per formula unit: 0.3
Energy in eV for the cell shown: -63.9
Density of states at the Fermi level in states/eV/f.u.: 3.4

Cell lengths 4.2595, 4.2595, 24.7281 Å; angles 90.00, 90.00, 120.00 degrees
Last column: nearest neighbours and their distance in Å.
Space group R-3m (No. 166, hexagonal axes)
Asymmetric unit:
Ca 0.0000 0.0000 0.0000 [3 per cell]  6 Mg 3.26, 2 Cu 3.51
Mg 0.0000 0.0000 0.2467 [6 per cell]  7 Cu 2.57-2.82
Cu 0.0000 0.0000 0.1421 [6 per cell]  6 Cu 2.54-2.74, 4 Mg 2.59-2.82
Cu 0.0000 0.0000 0.4504 [6 per cell]  4 Cu 2.45-2.54, 3 Mg 2.57

=====

Entry 4:
## CaIn2Te (PBE)

Data for CaIn2Te after structural relaxation.

Computed properties:
Magnetization in μB per formula unit: 0.0
Energy in eV for the cell shown: -37.0
Density of states at the Fermi level in states/eV/f.u.: 3.1
Raw formation energy in meV per atom: -426

Cell lengths 4.2108, 4.2108, 25.1989 Å; angles 90.00, 90.00, 120.00 degrees
Last column: nearest neighbours and their distance in Å.
Space group R3m (No. 160, hexagonal axes)
Asymmetric unit:
Ca 0.0000 0.0000 0.0000 [3 per cell]  3 Te 3.09
In 0.0000 0.0000 0.5093 [3 per cell]  3 In 3.12, 3 Te 3.18
In 0.0000 0.0000 0.7647 [3 per cell]  3 In 3.12, 3 Ca 3.47
Te 0.0000 0.0000 0.2575 [3 per cell]  3 Ca 3.09, 3 In 3.18

=====

Entry 5:
## Sm6Bi2Rh (PBE)

Data for Sm6Bi2Rh after structural relaxation.

Computed properties:
Magnetization in μB per formula unit: 0.0
Formation energy in eV per formula unit: -4.9
Energy in eV for the cell shown: -96.6
Density of states at the Fermi level in states/eV/f.u.: 10.5

Cell lengths 6.5344, 8.2033, 12.2043 Å; angles 90.00, 120.39, 90.00 degrees
Last column: nearest neighbours and their distance in Å.
Space group P2_1/c (No. 14)
Asymmetric unit:
Sm 0.0947 0.1848 0.4587 [4 per cell]  1 Rh 2.87
Sm 0.3206 0.6784 0.4589 [4 per cell]  1 Rh 2.83
Sm 0.3725 0.0213 0.2487 [4 per cell]  1 Rh 2.75
Bi 0.1541 0.1139 0.7489 [4 per cell]  8 Sm 3.23-3.52
Rh 0.5000 0.0000 0.5000 [2 per cell]  6 Sm 2.75-2.87

=====

Entry 6:
## Ba2MgCu3F12 (PBE)

Data for Ba2MgCu3F12 after structural relaxation.

Computed properties:
Magnetization in μB per formula unit: 3.0
Energy in eV for the cell shown: -257.7
Density of states at the Fermi level in states/eV/f.u.: 5.9
Raw formation energy in meV per atom: -2539

Cell lengths 7.5393, 7.5393, 17.1612 Å; angles 90.00, 90.00, 120.00 degrees
Last column: nearest neighbours and their distance in Å.
Space group R-3m (No. 166, hexagonal axes)
Asymmetric unit:
Ba 0.0000 0.0000 0.1712 [6 per cell]  6 F 2.70-2.77
Mg 0.0000 0.0000 0.5000 [3 per cell]  6 F 1.98
Cu 0.0000 0.5000 0.0000 [9 per cell]  6 F 1.94-2.09
F 0.0688 0.5344 0.1102 [18 per cell]  1 Cu 1.94, 1 Mg 1.98
F 0.0748 0.5374 0.3724 [18 per cell]  2 Cu 2.09

=====

Entry 7:
## KZrRe (PBE)

Data for KZrRe after structural relaxation.

Computed properties:
Magnetization in μB per formula unit: 0.0
Formation energy in eV per formula unit: 2.9
Energy in eV for the cell shown: -19.2
Density of states at the Fermi level in states/eV/f.u.: 2.8

Cell lengths 2.9068, 2.9068, 9.0311 Å; angles 90.00, 90.00, 120.00 degrees
Last column: nearest neighbours and their distance in Å.
Space group P3m1 (No. 156)
Asymmetric unit:
K 0.0000 0.0000 0.0000 [1 per cell]  6 K 2.91
Zr 0.3333 0.6667 0.6061 [1 per cell]  6 Zr 2.91, 3 Re 3.03
Re 0.6667 0.3333 0.3267 [1 per cell]  6 Re 2.91, 3 Zr 3.03

=====

Entry 8:
## TaBeB (PBE)

Data for TaBeB after structural relaxation.

Computed properties:
Magnetization in μB per formula unit: 0.0
Formation energy in eV per formula unit: -1.8
Energy in eV for the cell shown: -48.0
Density of states at the Fermi level in states/eV/f.u.: 0.3

Cell lengths 3.2406, 3.2689, 5.6971 Å; angles 90.00, 90.00, 90.00 degrees
Last column: nearest neighbours and their distance in Å.
Space group Pmma (No. 51)
Asymmetric unit:
Ta 0.2500 0.0000 0.2397 [2 per cell]  6 B 2.44-2.48, 6 Be 2.49-2.59
Be 0.2500 0.5000 0.5914 [2 per cell]  1 B 1.89, 2 Be 1.93
B 0.2500 0.5000 0.9226 [2 per cell]  2 B 1.84, 1 Be 1.89

=====

Among the records above, which one has the lowest energy?
Ba2MgCu3F12

=====

Which value of magnetization does entry 6 give?
3.0 μB per formula unit